1.
! ZrNbSi (GGA-PBE, relaxed); values from VASP
&SYSTEM
  ibrav = 0, nat = 12, ntyp = 3
/
ATOMIC_SPECIES
Zr 91.22 Zr.upf
Nb 92.91 Nb.upf
Si 28.09 Si.upf
CELL_PARAMETERS angstrom
7.020 0.000 0.000
0.000 3.646 0.000
0.000 0.000 8.510
ATOMIC_POSITIONS angstrom
Zr 0.325 0.912 1.414
Zr 3.186 2.735 5.669
Zr 3.835 0.912 2.841
Zr 6.696 2.735 7.096
Nb 0.919 0.912 4.755
Nb 2.591 2.735 0.500
Nb 4.429 0.912 8.010
Nb 6.101 2.735 3.755
Si 1.747 2.735 3.063
Si 1.763 0.912 7.318
Si 5.257 2.735 1.192
Si 5.274 0.912 5.447
! V: 217.83 Å³/cell
! SG: Pnma
! Electronic total energy: -8.779 eV/atom

---

2.
! SmNb (GGA-PBE, relaxed); values from VASP
&SYSTEM
  ibrav = 0, nat = 4, ntyp = 2
/
ATOMIC_SPECIES
Sm 150.36 Sm.upf
Nb 92.91 Nb.upf
CELL_PARAMETERS angstrom
5.250 0.000 0.000
-2.625 4.547 0.000
0.000 0.000 4.918
ATOMIC_POSITIONS angstrom
Sm 0.000 3.031 1.229
Sm 2.625 1.516 3.688
Nb 0.000 0.000 0.000
Nb 0.000 0.000 2.459
! V: 117.39 Å³/cell
! SG: P6_3/mmc
! Electronic total energy: -6.699 eV/atom

---

3.
! SmNb (GGA-PBE, relaxed); values from VASP
&SYSTEM
  ibrav = 0, nat = 4, ntyp = 2
/
ATOMIC_SPECIES
Sm 150.36 Sm.upf
Nb 92.91 Nb.upf
CELL_PARAMETERS angstrom
3.627 0.000 0.000
-1.814 3.141 0.000
0.000 0.000 7.816
ATOMIC_POSITIONS angstrom
Sm 0.000 0.000 0.000
Sm 0.000 0.000 3.908
Nb 0.000 2.094 1.954
Nb 1.814 1.047 5.862
! V: 89.05 Å³/cell
! SG: P6_3/mmc
! Electronic total energy: -6.345 eV/atom

---

4.
! SmNb2 (GGA-PBE, relaxed); values from VASP
&SYSTEM
  ibrav = 0, nat = 6, ntyp = 2
/
ATOMIC_SPECIES
Sm 150.36 Sm.upf
Nb 92.91 Nb.upf
CELL_PARAMETERS angstrom
0.000 5.875 5.875
5.875 0.000 5.875
5.875 5.875 0.000
ATOMIC_POSITIONS angstrom
Sm 1.469 1.469 1.469
Sm 10.281 10.281 10.281
Nb 0.000 0.000 0.000
Nb 2.937 2.937 0.000
Nb 2.937 0.000 2.937
Nb 0.000 2.937 2.937
! V: 405.55 Å³/cell
! SG: Fd-3m
! Electronic total energy: -4.189 eV/atom

---

5.
! SmNb (GGA-PBE, relaxed); values from VASP
&SYSTEM
  ibrav = 0, nat = 2, ntyp = 2
/
ATOMIC_SPECIES
Sm 150.36 Sm.upf
Nb 92.91 Nb.upf
CELL_PARAMETERS angstrom
3.207 0.000 0.000
-1.604 2.778 0.000
0.000 0.000 5.432
ATOMIC_POSITIONS angstrom
Sm 0.000 0.000 0.000
Nb 0.000 1.852 2.716
! V: 48.39 Å³/cell
! SG: P-6m2
! Electronic total energy: -6.835 eV/atom

---

6.
! SmNb (GGA-PBE, relaxed); values from VASP
&SYSTEM
  ibrav = 0, nat = 2, ntyp = 2
/
ATOMIC_SPECIES
Sm 150.36 Sm.upf
Nb 92.91 Nb.upf
CELL_PARAMETERS angstrom
0.000 2.980 2.980
2.980 0.000 2.980
2.980 2.980 0.000
ATOMIC_POSITIONS angstrom
Sm 0.000 0.000 0.000
Nb 2.980 2.980 2.980
! V: 52.94 Å³/cell
! SG: Fm-3m
! Electronic total energy: -6.099 eV/atom

---

7.
! Sm2Nb (GGA-PBE, relaxed); values from VASP
&SYSTEM
  ibrav = 0, nat = 6, ntyp = 2
/
ATOMIC_SPECIES
Sm 150.36 Sm.upf
Nb 92.91 Nb.upf
CELL_PARAMETERS angstrom
0.000 5.981 5.981
5.981 0.000 5.981
5.981 5.981 0.000
ATOMIC_POSITIONS angstrom
Sm 0.000 0.000 0.000
Sm 2.990 2.990 0.000
Sm 2.990 0.000 2.990
Sm 0.000 2.990 2.990
Nb 1.495 1.495 1.495
Nb 10.466 10.466 10.466
! V: 427.88 Å³/cell
! SG: Fd-3m
! Electronic total energy: -4.541 eV/atom

---

8.
! SmNb (GGA-PBE, relaxed); values from VASP
&SYSTEM
  ibrav = 0, nat = 2, ntyp = 2
/
ATOMIC_SPECIES
Sm 150.36 Sm.upf
Nb 92.91 Nb.upf
CELL_PARAMETERS angstrom
0.000 3.343 3.343
3.343 0.000 3.343
3.343 3.343 0.000
ATOMIC_POSITIONS angstrom
Sm 0.000 0.000 0.000
Nb 1.671 1.671 1.671
! V: 74.70 Å³/cell
! SG: F-43m
! Electronic total energy: -4.964 eV/atom

---

9.
! Sm2Nb (GGA-PBE, relaxed); values from VASP
&SYSTEM
  ibrav = 0, nat = 6, ntyp = 2
/
ATOMIC_SPECIES
Sm 150.36 Sm.upf
Nb 92.91 Nb.upf
CELL_PARAMETERS angstrom
0.000 4.326 4.326
4.326 0.000 4.326
4.326 4.326 0.000
ATOMIC_POSITIONS angstrom
Sm 0.000 0.000 0.000
Sm 2.163 2.163 0.000
Sm 2.163 0.000 2.163
Sm 0.000 2.163 2.163
Nb 3.245 3.245 3.245
Nb 5.408 5.408 5.408
! V: 161.95 Å³/cell
! SG: Fd-3m
! Electronic total energy: -5.525 eV/atom

---

10.
! SmNbSn (GGA-PBE, relaxed); values from VASP
&SYSTEM
  ibrav = 0, nat = 3, ntyp = 3
/
ATOMIC_SPECIES
Sm 150.36 Sm.upf
Nb 92.91 Nb.upf
Sn 118.71 Sn.upf
CELL_PARAMETERS angstrom
0.000 3.577 3.577
3.577 0.000 3.577
3.577 3.577 0.000
ATOMIC_POSITIONS angstrom
Sm 0.000 0.000 0.000
Nb 5.366 5.366 5.366
Sn 1.789 1.789 1.789
! V: 91.57 Å³/cell
! SG: F-43m
! Electronic total energy: -5.475 eV/atom

---

11.
! SmNbSn (GGA-PBE, relaxed); values from VASP
&SYSTEM
  ibrav = 0, nat = 3, ntyp = 3
/
ATOMIC_SPECIES
Sm 150.36 Sm.upf
Nb 92.91 Nb.upf
Sn 118.71 Sn.upf
CELL_PARAMETERS angstrom
0.000 3.511 3.511
3.511 0.000 3.511
3.511 3.511 0.000
ATOMIC_POSITIONS angstrom
Sm 0.000 0.000 0.000
Nb 1.756 1.756 1.756
Sn 3.511 3.511 3.511
! V: 86.59 Å³/cell
! SG: F-43m
! Electronic total energy: -5.840 eV/atom

---

12.
! SrSmNb (GGA-PBE, relaxed); values from VASP
&SYSTEM
  ibrav = 0, nat = 3, ntyp = 3
/
ATOMIC_SPECIES
Sr 87.62 Sr.upf
Sm 150.36 Sm.upf
Nb 92.91 Nb.upf
CELL_PARAMETERS angstrom
0.000 3.813 3.813
3.813 0.000 3.813
3.813 3.813 0.000
ATOMIC_POSITIONS angstrom
Sr 0.000 0.000 0.000
Sm 3.813 3.813 3.813
Nb 5.719 5.719 5.719
! V: 110.84 Å³/cell
! SG: F-43m
! Electronic total energy: -4.378 eV/atom